Sm5P4 | PBE-GGA | optimized geometry

a = 8.326 Å, b = 8.326 Å, c = 8.326 Å
α = 93.33°, β = 93.33°, γ = 152.12°
Positions (direct):
Sm 0.000 0.000 0.000
Sm 0.265 0.597 0.862
Sm 0.403 0.265 0.668
Sm 0.597 0.735 0.332
Sm 0.735 0.403 0.138
P 0.093 0.772 0.865
P 0.228 0.093 0.321
P 0.772 0.907 0.679
P 0.907 0.228 0.135

## Properties
Formation energy from the elements (eV per formula unit): -10.7